# LiZrRe2

A geometry-optimized LiZrRe2 structure (PBE, Alexandria via LeMat-Bulk).

## Properties
ΔH_f (0 K) in kJ/mol of atoms: 20
SG: Imm2, No. 44
Calculated density in g/cm³: 11.7
Offset from the most stable computed form in eV/atom: 0.130
Crystal system: orthorhombic

Cell lengths 5.2809, 5.2809, 5.2809 Å; angles 144.19, 128.15, 64.62 degrees
Fractional coordinates of all 4 atoms:
Li1 0.0000 0.0000 0.0000
Zr1 0.7292 0.2292 0.5000
Re1 0.2520 0.7520 0.5000
Re2 0.4632 0.4632 0.0000